Entry 1:
VASP calculation (PBE-GGA) on a relaxed structure of Fe4TcNi.

Output
**Symmetry**: F-43m (216)
**Energy of formation**: 0.11 eV/atom
**Electronic total energy**: -8.221 eV/atom

Unit cell a=4.6397 b=4.6397 c=4.6397 alpha=60.00 beta=60.00 gamma=60.00
Last column: magnetic moment on the atom in μB.
Sites, in units of the cell vectors:
Ni 0.7500 0.7500 0.7500  0.40
Fe 0.8734 0.3755 0.3755  1.76
Fe 0.3755 0.3755 0.3755  1.76
Fe 0.3755 0.3755 0.8734  1.76
Tc 0.0000 0.0000 0.0000  -0.69
Fe 0.3755 0.8734 0.3755  1.76

---

Entry 2:
VASP calculation (PBE-GGA) on a relaxed structure of FeTc4Ni.

Output
**Symmetry**: F-43m (216)
**Energy of formation**: 0.53 eV/atom
**Electronic total energy**: -8.758 eV/atom

Unit cell a=5.0332 b=5.0332 c=5.0332 alpha=60.00 beta=60.00 gamma=60.00
Last column: magnetic moment on the atom in μB.
Sites, in units of the cell vectors:
Fe 0.2500 0.2500 0.2500  2.77
Tc 0.1238 0.6254 0.6254  -0.10
Tc 0.6254 0.1238 0.6254  -0.10
Tc 0.6254 0.6254 0.1238  -0.10
Tc 0.6254 0.6254 0.6254  -0.10
Ni 0.0000 0.0000 0.0000  -0.29

---

Entry 3:
VASP calculation (PBE-GGA) on a relaxed structure of TiFeTcNi.

Output
**Symmetry**: F-43m (216)
**Energy of formation**: -0.10 eV/atom
**Electronic total energy**: -8.229 eV/atom

Unit cell a=4.2295 b=4.2295 c=4.2295 alpha=60.00 beta=60.00 gamma=60.00
Last column: magnetic moment on the atom in μB.
Sites, in units of the cell vectors:
Tc 0.2500 0.2500 0.2500  0.33
Fe 0.5000 0.5000 0.5000  2.64
Ni 0.7500 0.7500 0.7500  0.26
Ti 0.0000 0.0000 0.0000  0.16

---

Entry 4:
VASP calculation (PBE-GGA) on a relaxed structure of UFeTcNi.

Output
**Symmetry**: Pmmm (47)
**Energy of formation**: -0.15 eV/atom
**Electronic total energy**: -9.123 eV/atom

Unit cell a=3.7072 b=3.9945 c=3.8953 alpha=90.00 beta=90.00 gamma=90.00
Sites, in units of the cell vectors:
Ni 0.0000 0.0000 0.0000
Tc 0.5000 0.0000 0.5000
U 0.0000 0.5000 0.5000
Fe 0.5000 0.5000 0.0000

---

no.,D(E_F) (states/eV/f.u.)
1,5.0
2,6.0
3,6.7
4,4.4